<one>
The following is a GGA-PBEsol calculation of a relaxed structure of Ag3Se5, from Alexandria.

```
16
Lattice="6.2606 0.0000 0.0000 3.0440 7.5021 0.0000 2.2183 2.9769 7.7290" Properties=species:S:1:pos:R:3 pbc="T T T"
Ag 0.0000 0.0000 0.0000
Ag 3.7992 6.6357 7.0475
Ag 5.0778 7.4963 4.6794
Ag 7.0783 9.5469 5.3989
Ag 5.0660 3.6916 1.2032
Ag 6.5135 5.0148 4.7207
Se 2.7412 3.9346 4.1013
Se 2.4487 2.5858 1.8574
Se 5.9005 8.0557 7.1872
Se 4.5030 5.3181 3.1682
Se 4.7026 3.8709 7.6459
Se 7.3286 7.4975 3.1772
Se 6.9947 6.7095 0.9741
Se 7.9332 5.3453 6.8423
Se 6.5732 2.0469 4.8148
Se 6.3307 1.7060 2.4357
```

## Properties
As for the crystal system: triclinic.

=====

<two>
The following is a GGA-PBEsol calculation of a relaxed structure of Ag3Se5, from Alexandria.

```
8
Lattice="3.5624 -6.2223 0.0000 3.5624 6.2223 0.0000 0.0000 0.0000 3.7968" Properties=species:S:1:pos:R:3 pbc="T T T"
Ag 0.0000 0.0000 0.0000
Ag 3.5624 3.7550 1.8984
Ag 3.5624 -3.7550 1.8984
Se 1.7812 3.1112 0.0000
Se 1.7915 0.0000 1.8984
Se 1.7812 -3.1112 0.0000
Se 3.5624 0.0000 0.0000
Se 5.3333 0.0000 1.8984
```

## Properties
As for the crystal system: orthorhombic.

=====

Here is how they stack up, most stable first: <one>, <two>.

=====

<one>
The following is a GGA-PBEsol calculation of a relaxed structure of TcAgSe2, from Alexandria.

```
4
Lattice="3.0379 0.0000 0.0000 0.0000 3.0379 0.0000 0.0000 0.0000 7.3774" Properties=species:S:1:pos:R:3 pbc="T T T"
Tc 0.0000 0.0000 0.0000
Ag 0.0000 0.0000 3.6887
Se 1.5189 1.5189 1.5262
Se 1.5189 1.5189 5.8512
```

## Properties
As for the crystal system: tetragonal.

=====

<two>
The following is a GGA-PBEsol calculation of a relaxed structure of TcAgSe2, from Alexandria.

```
4
Lattice="2.9641 0.0000 0.0000 0.0000 2.9641 0.0000 0.0000 0.0000 8.3172" Properties=species:S:1:pos:R:3 pbc="T T T"
Tc 0.0000 0.0000 0.0000
Ag 1.4820 1.4820 2.0236
Se 0.0000 0.0000 3.9942
Se 1.4820 1.4820 6.9971
```

## Properties
As for the crystal system: tetragonal.

=====

Here is how they stack up, most stable first: <one>, <two>.